Record 1
Entry from the Alexandria database: crystalline Np2Te3H4 at its relaxed geometry (PBE).

Properties
E (eV/atom): -5.66
ρ (g/cm³): 9.66

Cell lengths 3.726, 5.472, 7.964 Å; angles 74.01, 87.79, 71.74 degrees
Atoms (fractional coordinates):
Np: 0.188 0.151 0.291
Np: 0.812 0.849 0.709
Te: 0.138 0.215 0.866
Te: 0.500 0.500 0.500
Te: 0.862 0.785 0.134
H: 0.241 0.019 0.573
H: 0.377 0.687 0.823
H: 0.623 0.313 0.177
H: 0.759 0.981 0.427


Record 2
Entry from the Alexandria database: crystalline YCrTc at its relaxed geometry (PBE).

Properties
E (eV/atom): -8.61
Distance to the lowest polymorph of the same formula (meV per atom): 168.4
ρ (g/cm³): 6.42

Cell lengths 3.935, 3.935, 4.609 Å; angles 90.00, 90.00, 120.00 degrees
Atoms (fractional coordinates):
Y: 0.000 0.000 0.000
Cr: 0.667 0.333 0.500
Tc: 0.333 0.667 0.500


Record 3
Entry from the Alexandria database: crystalline LaB2Pd at its relaxed geometry (PBE).

Properties
E (eV/atom): -5.43
Distance to the lowest polymorph of the same formula (meV per atom): 482.1
ρ (g/cm³): 7.32

Cell lengths 4.408, 4.408, 4.408 Å; angles 60.00, 60.00, 60.00 degrees
Atoms (fractional coordinates):
La: 0.000 0.000 0.000
B: 0.250 0.250 0.250
B: 0.750 0.750 0.750
Pd: 0.500 0.500 0.500


Record 4
Entry from the Alexandria database: crystalline KAs at its relaxed geometry (PBE).

Properties
E (eV/atom): -2.51
Distance to the lowest polymorph of the same formula (meV per atom): 831.2
ρ (g/cm³): 2.33

Cell lengths 4.863, 4.863, 4.863 Å; angles 60.00, 60.00, 60.00 degrees
Atoms (fractional coordinates):
K: 0.000 0.000 0.000
As: 0.500 0.500 0.500


Record 5
Entry from the Alexandria database: crystalline SrCuSb2 at its relaxed geometry (PBE).

Properties
Formation energy (no corrections) (kJ/mol of atoms): -14.37
E (eV/atom): -3.65
ρ (g/cm³): 6.21

Cell lengths 6.034, 6.034, 6.034 Å; angles 135.75, 135.75, 64.37 degrees
Atoms (fractional coordinates):
Sr: 0.000 0.000 0.000
Cu: 0.500 0.500 0.000
Sb: 0.250 0.750 0.500
Sb: 0.750 0.250 0.500